## CdInHgCl2 (PBE)

Data for a relaxed CdInHgCl2 crystal.

- space-group type = P4/mmm
- energy relative to the elements, uncorrected (eV per formula unit) = -0.73
- total energy (eV per atom) = -1.677

Unit cell a=5.457 b=5.728 c=5.457 alpha=90.00 beta=90.00 gamma=90.00
Atoms (fractional coordinates):
Cl1 0.000 0.000 0.500
Cl2 0.500 0.000 0.000
Cd1 0.500 0.500 0.500
Hg1 0.000 0.000 0.000
In1 0.000 0.500 0.000